Record 1
! MgIn (meta-GGA SCAN, single point on PBEsol structure); values from VASP
&SYSTEM
  ibrav = 0, nat = 16, ntyp = 2
/
ATOMIC_SPECIES
Mg 24.30 Mg.upf
In 114.82 In.upf
CELL_PARAMETERS angstrom
7.221 0.000 0.000
0.000 7.221 0.000
0.000 0.000 7.221
ATOMIC_POSITIONS crystal
Mg 0.125 0.125 0.125
Mg 0.125 0.625 0.625
Mg 0.375 0.375 0.875
Mg 0.375 0.875 0.375
Mg 0.625 0.125 0.625
Mg 0.625 0.625 0.125
Mg 0.875 0.375 0.375
Mg 0.875 0.875 0.875
In 0.125 0.125 0.625
In 0.125 0.625 0.125
In 0.375 0.375 0.375
In 0.375 0.875 0.875
In 0.625 0.125 0.125
In 0.625 0.625 0.625
In 0.875 0.375 0.875
In 0.875 0.875 0.375
! SG: Fd-3m, No. 227
! N(E_F): 0.92 states/eV/f.u.
! Total energy: -19.22 eV/atom
! Formation energy from the elements: -0.0367 eV/atom
! Magnetic moment: 0.000 μB/atom

***

Record 2
! Mg3In4 (meta-GGA SCAN, single point on PBEsol structure); values from VASP
&SYSTEM
  ibrav = 0, nat = 7, ntyp = 2
/
ATOMIC_SPECIES
Mg 24.30 Mg.upf
In 114.82 In.upf
CELL_PARAMETERS angstrom
5.895 0.000 0.000
-2.948 5.105 0.000
0.000 0.000 5.605
ATOMIC_POSITIONS crystal
Mg 0.000 0.500 0.000
Mg 0.500 0.000 0.000
Mg 0.500 0.500 0.000
In 0.000 0.000 0.252
In 0.000 0.000 0.748
In 0.333 0.667 0.500
In 0.667 0.333 0.500
! SG: P6/mmm, No. 191
! N(E_F): 2.98 states/eV/f.u.
! Total energy: -21.23 eV/atom
! Formation energy from the elements: -0.0209 eV/atom
! Magnetic moment: 0.000 μB/atom

***

Record 3
! MgIn (meta-GGA SCAN, single point on PBEsol structure); values from VASP
&SYSTEM
  ibrav = 0, nat = 8, ntyp = 2
/
ATOMIC_SPECIES
Mg 24.30 Mg.upf
In 114.82 In.upf
CELL_PARAMETERS angstrom
4.400 0.000 0.000
0.000 4.400 0.000
0.000 0.000 9.378
ATOMIC_POSITIONS crystal
Mg 0.000 0.250 0.375
Mg 0.000 0.750 0.625
Mg 0.500 0.250 0.125
Mg 0.500 0.750 0.875
In 0.000 0.250 0.875
In 0.000 0.750 0.125
In 0.500 0.250 0.625
In 0.500 0.750 0.375
! SG: I4_1/amd, No. 141
! N(E_F): 0.82 states/eV/f.u.
! Total energy: -19.34 eV/atom
! Formation energy from the elements: -0.1576 eV/atom
! Magnetic moment: 0.000 μB/atom

***

Record 4
! MgIn (meta-GGA SCAN, single point on PBEsol structure); values from VASP
&SYSTEM
  ibrav = 0, nat = 24, ntyp = 2
/
ATOMIC_SPECIES
Mg 24.30 Mg.upf
In 114.82 In.upf
CELL_PARAMETERS angstrom
10.153 0.000 0.000
0.000 9.014 0.000
0.000 0.000 6.094
ATOMIC_POSITIONS crystal
Mg 0.122 0.250 0.000
Mg 0.122 0.250 0.500
Mg 0.165 0.654 0.250
Mg 0.165 0.846 0.750
Mg 0.353 0.047 0.250
Mg 0.353 0.453 0.750
Mg 0.647 0.547 0.250
Mg 0.647 0.953 0.750
Mg 0.835 0.154 0.250
Mg 0.835 0.346 0.750
Mg 0.878 0.750 0.000
Mg 0.878 0.750 0.500
In 0.068 0.539 0.750
In 0.068 0.961 0.250
In 0.357 0.100 0.750
In 0.357 0.400 0.250
In 0.414 0.750 0.000
In 0.414 0.750 0.500
In 0.586 0.250 0.000
In 0.586 0.250 0.500
In 0.643 0.600 0.750
In 0.643 0.900 0.250
In 0.932 0.039 0.750
In 0.932 0.461 0.250
! SG: Pbcm, No. 57
! N(E_F): 0.74 states/eV/f.u.
! Total energy: -19.30 eV/atom
! Formation energy from the elements: -0.1245 eV/atom
! Magnetic moment: 0.000 μB/atom

***

Record 5
! MgIn (meta-GGA SCAN, single point on PBEsol structure); values from VASP
&SYSTEM
  ibrav = 0, nat = 4, ntyp = 2
/
ATOMIC_SPECIES
Mg 24.30 Mg.upf
In 114.82 In.upf
CELL_PARAMETERS angstrom
4.562 0.000 0.000
-2.281 3.951 0.000
0.000 0.000 5.835
ATOMIC_POSITIONS crystal
Mg 0.333 0.667 0.250
Mg 0.667 0.333 0.750
In 0.000 0.000 0.000
In 0.000 0.000 0.500
! SG: P6_3/mmc, No. 194
! N(E_F): 1.24 states/eV/f.u.
! Total energy: -19.20 eV/atom
! Formation energy from the elements: -0.0153 eV/atom
! Magnetic moment: 0.000 μB/atom

***

Record 6
! Mg3In (meta-GGA SCAN, single point on PBEsol structure); values from VASP
&SYSTEM
  ibrav = 0, nat = 4, ntyp = 2
/
ATOMIC_SPECIES
Mg 24.30 Mg.upf
In 114.82 In.upf
CELL_PARAMETERS angstrom
3.191 0.000 0.000
0.000 5.159 0.000
0.000 0.000 5.449
ATOMIC_POSITIONS crystal
Mg 0.000 0.000 0.000
Mg 0.000 0.500 0.336
Mg 0.500 0.500 0.838
In 0.500 0.000 0.501
! SG: Pmm2, No. 25
! N(E_F): 1.44 states/eV/f.u.
! Total energy: -12.18 eV/atom
! Formation energy from the elements: -0.1069 eV/atom
! Magnetic moment: 0.001 μB/atom

***

Record 7
! Mg7In (meta-GGA SCAN, single point on PBEsol structure); values from VASP
&SYSTEM
  ibrav = 0, nat = 8, ntyp = 2
/
ATOMIC_SPECIES
Mg 24.30 Mg.upf
In 114.82 In.upf
CELL_PARAMETERS angstrom
0.000 4.476 4.476
4.476 0.000 4.476
4.476 4.476 0.000
ATOMIC_POSITIONS crystal
Mg 0.000 0.000 0.000
Mg 0.000 0.000 0.500
Mg 0.000 0.500 0.000
Mg 0.000 0.500 0.500
Mg 0.500 0.000 0.000
Mg 0.500 0.000 0.500
Mg 0.500 0.500 0.000
In 0.500 0.500 0.500
! SG: Fm-3m, No. 225
! N(E_F): 4.03 states/eV/f.u.
! Total energy: -8.58 eV/atom
! Formation energy from the elements: -0.0550 eV/atom
! Magnetic moment: 0.000 μB/atom

***

Record 8
! MgIn5 (meta-GGA SCAN, single point on PBEsol structure); values from VASP
&SYSTEM
  ibrav = 0, nat = 12, ntyp = 2
/
ATOMIC_SPECIES
Mg 24.30 Mg.upf
In 114.82 In.upf
CELL_PARAMETERS angstrom
10.934 0.000 0.000
0.000 3.332 0.000
-3.840 0.000 8.098
ATOMIC_POSITIONS crystal
Mg 0.000 0.000 0.000
Mg 0.500 0.500 0.000
In 0.000 0.000 0.500
In 0.160 0.500 0.839
In 0.171 0.500 0.327
In 0.329 0.000 0.673
In 0.340 0.000 0.161
In 0.500 0.500 0.500
In 0.660 0.000 0.839
In 0.671 0.000 0.327
In 0.829 0.500 0.673
In 0.840 0.500 0.161
! SG: C2/m, No. 12
! N(E_F): 2.47 states/eV/f.u.
! Total energy: -28.66 eV/atom
! Formation energy from the elements: -0.0086 eV/atom
! Magnetic moment: 0.000 μB/atom

***

Record 9
! Mg3In (meta-GGA SCAN, single point on PBEsol structure); values from VASP
&SYSTEM
  ibrav = 0, nat = 4, ntyp = 2
/
ATOMIC_SPECIES
Mg 24.30 Mg.upf
In 114.82 In.upf
CELL_PARAMETERS angstrom
3.121 0.000 0.000
0.000 5.260 0.000
-0.259 0.000 5.532
ATOMIC_POSITIONS crystal
Mg 0.000 0.000 0.000
Mg 0.273 0.500 0.751
Mg 0.727 0.500 0.249
In 0.500 0.000 0.500
! SG: P2/m, No. 10
! N(E_F): 1.54 states/eV/f.u.
! Total energy: -12.14 eV/atom
! Formation energy from the elements: -0.0639 eV/atom
! Magnetic moment: 0.003 μB/atom

***

Record 10
! MgIn (meta-GGA SCAN, single point on PBEsol structure); values from VASP
&SYSTEM
  ibrav = 0, nat = 8, ntyp = 2
/
ATOMIC_SPECIES
Mg 24.30 Mg.upf
In 114.82 In.upf
CELL_PARAMETERS angstrom
5.114 0.000 0.000
-2.557 4.429 0.000
0.000 0.000 8.751
ATOMIC_POSITIONS crystal
Mg 0.333 0.667 0.081
Mg 0.333 0.667 0.419
Mg 0.667 0.333 0.581
Mg 0.667 0.333 0.919
In 0.000 0.000 0.250
In 0.000 0.000 0.750
In 0.333 0.667 0.750
In 0.667 0.333 0.250
! SG: P6_3/mmc, No. 194
! N(E_F): 0.80 states/eV/f.u.
! Total energy: -19.18 eV/atom
! Formation energy from the elements: -0.0021 eV/atom
! Magnetic moment: 0.000 μB/atom

***

Record 11
! Mg4In3 (meta-GGA SCAN, single point on PBEsol structure); values from VASP
&SYSTEM
  ibrav = 0, nat = 14, ntyp = 2
/
ATOMIC_SPECIES
Mg 24.30 Mg.upf
In 114.82 In.upf
CELL_PARAMETERS angstrom
3.892 0.000 0.000
0.000 3.892 0.000
0.000 0.000 21.329
ATOMIC_POSITIONS crystal
Mg 0.000 0.000 0.070
Mg 0.000 0.000 0.355
Mg 0.000 0.000 0.645
Mg 0.000 0.000 0.930
Mg 0.500 0.500 0.145
Mg 0.500 0.500 0.430
Mg 0.500 0.500 0.570
Mg 0.500 0.500 0.855
In 0.000 0.000 0.212
In 0.000 0.000 0.500
In 0.000 0.000 0.788
In 0.500 0.500 0.000
In 0.500 0.500 0.288
In 0.500 0.500 0.712
! SG: I4/mmm, No. 139
! N(E_F): 2.49 states/eV/f.u.
! Total energy: -17.26 eV/atom
! Formation energy from the elements: -0.1095 eV/atom
! Magnetic moment: 0.000 μB/atom

***

Record 12
! Mg3In (meta-GGA SCAN, single point on PBEsol structure); values from VASP
&SYSTEM
  ibrav = 0, nat = 16, ntyp = 2
/
ATOMIC_SPECIES
Mg 24.30 Mg.upf
In 114.82 In.upf
CELL_PARAMETERS angstrom
6.204 0.000 0.000
0.000 10.873 0.000
0.000 0.000 5.327
ATOMIC_POSITIONS crystal
Mg 0.000 0.085 0.250
Mg 0.000 0.915 0.750
Mg 0.249 0.338 0.250
Mg 0.249 0.662 0.750
Mg 0.251 0.162 0.750
Mg 0.251 0.838 0.250
Mg 0.500 0.415 0.750
Mg 0.500 0.585 0.250
Mg 0.749 0.162 0.750
Mg 0.749 0.838 0.250
Mg 0.751 0.338 0.250
Mg 0.751 0.662 0.750
In 0.000 0.409 0.750
In 0.000 0.591 0.250
In 0.500 0.091 0.250
In 0.500 0.909 0.750
! SG: Cmcm, No. 63
! N(E_F): 1.74 states/eV/f.u.
! Total energy: -12.18 eV/atom
! Formation energy from the elements: -0.1049 eV/atom
! Magnetic moment: 0.000 μB/atom

***

Repeat the seventh record exactly.
! Mg7In (meta-GGA SCAN, single point on PBEsol structure); values from VASP
&SYSTEM
  ibrav = 0, nat = 8, ntyp = 2
/
ATOMIC_SPECIES
Mg 24.30 Mg.upf
In 114.82 In.upf
CELL_PARAMETERS angstrom
0.000 4.476 4.476
4.476 0.000 4.476
4.476 4.476 0.000
ATOMIC_POSITIONS crystal
Mg 0.000 0.000 0.000
Mg 0.000 0.000 0.500
Mg 0.000 0.500 0.000
Mg 0.000 0.500 0.500
Mg 0.500 0.000 0.000
Mg 0.500 0.000 0.500
Mg 0.500 0.500 0.000
In 0.500 0.500 0.500
! SG: Fm-3m, No. 225
! N(E_F): 4.03 states/eV/f.u.
! Total energy: -8.58 eV/atom
! Formation energy from the elements: -0.0550 eV/atom
! Magnetic moment: 0.000 μB/atom